# LaAlGe

An optimized crystal structure of LaAlGe (GGA-PBE, Alexandria).

Cell: 4.3073 4.3073 5.2437 Å, 114.25 114.25 90.00°
With the nearest neighbours (Å) after each atom.
Element x y z (fractional)
Ge (0.9317, 0.9317, 0.8634)  1 Al 2.51
La (0.2810, 0.2810, 0.5620)  5 Ge 2.98-3.31, 5 Al 3.04-3.28
Al (0.6373, 0.6373, 0.2746)  1 Ge 2.51

Output
- symmetry = I4mm (107)
- calculated formation energy (eV per atom) = -0.207
- total moment (μB/f.u.) = 0.00


# PmErHgBi

An optimized crystal structure of PmErHgBi (GGA-PBE, Alexandria).

Cell: 5.4141 5.4141 5.4141 Å, 60.00 60.00 60.00°
With the nearest neighbours (Å) after each atom.
Element x y z (fractional)
Hg (0.7500, 0.7500, 0.7500)  4 Pm 3.32, 4 Er 3.32
Pm (0.0000, 0.0000, 0.0000)  4 Hg 3.32, 4 Bi 3.32
Er (0.5000, 0.5000, 0.5000)  4 Hg 3.32, 4 Bi 3.32
Bi (0.2500, 0.2500, 0.2500)  4 Er 3.32, 4 Pm 3.32

Output
- symmetry = F-43m (216)
- calculated formation energy (eV per atom) = -0.505
- total moment (μB/f.u.) = 0.00


# RbLa3Te

An optimized crystal structure of RbLa3Te (GGA-PBE, Alexandria).

Cell: 5.6723 5.6723 5.6723 Å, 90.00 90.00 90.00°
With the nearest neighbours (Å) after each atom.
Element x y z (fractional)
La (0.5000, 0.0000, 0.0000)  2 Rb 2.84
La (0.0000, 0.0000, 0.5000)  2 Rb 2.84
La (0.0000, 0.5000, 0.0000)  2 Rb 2.84
Rb (0.0000, 0.0000, 0.0000)  6 La 2.84
Te (0.5000, 0.5000, 0.5000)  12 La 4.01

Output
- raw formation energy (eV/atom) = 0.77
- relative energy among the computed polymorphs (eV per formula unit) = 4.40
- symmetry = Pm-3m (221)
- total moment (μB/f.u.) = 0.00


# TmHfGaPd

An optimized crystal structure of TmHfGaPd (GGA-PBE, Alexandria).

Cell: 4.8313 4.8313 4.8313 Å, 60.00 60.00 60.00°
With the nearest neighbours (Å) after each atom.
Element x y z (fractional)
Tm (0.0000, 0.0000, 0.0000)  4 Pd 2.96, 4 Ga 2.96
Hf (0.5000, 0.5000, 0.5000)  4 Ga 2.96, 4 Pd 2.96
Pd (0.7500, 0.7500, 0.7500)  4 Hf 2.96, 4 Tm 2.96
Ga (0.2500, 0.2500, 0.2500)  4 Tm 2.96, 4 Hf 2.96

Output
- symmetry = F-43m (216)
- calculated formation energy (eV per atom) = -0.543
- total moment (μB/f.u.) = 0.01


# InAg2Pt

An optimized crystal structure of InAg2Pt (GGA-PBE, Alexandria).

Cell: 3.0084 3.0085 8.1634 Å, 90.00 90.00 89.97°
With the nearest neighbours (Å) after each atom.
Element x y z (fractional)
Pt (0.5000, 0.5000, 0.7500)  8 Ag 2.86, 4 Pt 3.01
Ag (0.0000, 0.0000, 0.5165)  4 Pt 2.86, 4 Ag 3.01, 4 In 3.04
Ag (0.0000, 0.0000, 0.9835)  4 Pt 2.86, 4 Ag 3.01, 4 In 3.04
In (0.5000, 0.5000, 0.2500)  4 In 3.01, 8 Ag 3.04

Output
- symmetry = P4/mmm (123)
- calculated formation energy (eV per atom) = 0.050
- total moment (μB/f.u.) = 0.00


# AcGdAgIr

An optimized crystal structure of AcGdAgIr (GGA-PBE, Alexandria).

Cell: 5.2212 5.2212 5.2212 Å, 60.00 60.00 60.00°
With the nearest neighbours (Å) after each atom.
Element x y z (fractional)
Ag (0.0000, 0.0000, 0.0000)  4 Gd 3.20, 4 Ac 3.20
Ir (0.5000, 0.5000, 0.5000)  4 Gd 3.20, 4 Ac 3.20
Ac (0.2500, 0.2500, 0.2500)  4 Ag 3.20, 4 Ir 3.20
Gd (0.7500, 0.7500, 0.7500)  4 Ir 3.20, 4 Ag 3.20

Output
- symmetry = F-43m (216)
- calculated formation energy (eV per atom) = -0.403
- total moment (μB/f.u.) = 7.12


# DyTmMg6

An optimized crystal structure of DyTmMg6 (GGA-PBE, Alexandria).

Cell: 5.0635 6.5329 6.5329 Å, 112.14 90.00 90.00°
With the nearest neighbours (Å) after each atom.
Element x y z (fractional)
Dy (0.5000, 0.3790, 0.6210)  10 Mg 3.24-3.35
Mg (0.0000, 0.6343, 0.9333)  7 Mg 3.07-3.34, 2 Tm 3.24-3.32, 2 Dy 3.28
Mg (0.5000, 0.9192, 0.0808)  8 Mg 3.07-3.33, 2 Tm 3.34
Mg (0.0000, 0.5815, 0.4185)  8 Mg 3.07-3.32, 2 Dy 3.35
Mg (0.5000, 0.4325, 0.1339)  7 Mg 3.07-3.34, 2 Dy 3.24-3.33, 2 Tm 3.28
Mg (0.5000, 0.8661, 0.5675)  7 Mg 3.07-3.34, 2 Dy 3.24-3.33, 2 Tm 3.28
Mg (0.0000, 0.0667, 0.3657)  7 Mg 3.07-3.34, 2 Tm 3.24-3.32, 2 Dy 3.28
Tm (0.0000, 0.1204, 0.8796)  10 Mg 3.24-3.34

Output
- symmetry = Amm2 (38)
- calculated formation energy (eV per atom) = -0.062
- total moment (μB/f.u.) = 0.00


# SbH2

An optimized crystal structure of SbH2 (GGA-PBE, Alexandria).

Cell: 3.1599 3.1602 10.5937 Å, 98.48 98.53 90.04°
With the nearest neighbours (Å) after each atom.
Element x y z (fractional)
H (0.2218, 0.7196, 0.4444)  1 H 0.75
H (0.1876, 0.6905, 0.3717)  1 H 0.75
H (0.8124, 0.3095, 0.6283)  1 H 0.75
H (0.7782, 0.2804, 0.5556)  1 H 0.75
Sb (0.5674, 0.0674, 0.1356)  1 Sb 2.81
Sb (0.4326, 0.9326, 0.8644)  1 Sb 2.81

Output
- relative energy among the computed polymorphs (eV per formula unit) = 0.01
- symmetry = P-1 (2)
- total moment (μB/f.u.) = 0.00


# CuReIO2

An optimized crystal structure of CuReIO2 (GGA-PBE, Alexandria).

Cell: 3.8114 3.8114 6.0425 Å, 90.00 90.00 90.00°
With the nearest neighbours (Å) after each atom.
Element x y z (fractional)
Cu (0.5000, 0.5000, 0.5000)  4 I 2.70
Re (0.0000, 0.0000, 0.0000)  4 O 1.91
O (0.5000, 0.0000, 0.0000)  2 Re 1.91
O (0.0000, 0.5000, 0.0000)  2 Re 1.91
I (0.0000, 0.0000, 0.5000)  4 Cu 2.70

Output
- raw formation energy (eV/atom) = -0.53
- relative energy among the computed polymorphs (eV per formula unit) = 0.00
- symmetry = P4/mmm (123)
- total moment (μB/f.u.) = 0.00


# Cd2Ag4Au

An optimized crystal structure of Cd2Ag4Au (GGA-PBE, Alexandria).

Cell: 4.8403 9.9002 11.6010 Å, 90.00 90.00 90.00°
With the nearest neighbours (Å) after each atom.
Element x y z (fractional)
Cd (0.5200, 0.5514, 0.1507)  6 Ag 2.86-3.09, 2 Au 2.95-3.11
Cd (0.9800, 0.4486, 0.6507)  6 Ag 2.86-3.09, 2 Au 2.95-3.11
Cd (0.4800, 0.4486, 0.8493)  6 Ag 2.86-3.09, 2 Au 2.95-3.11
Cd (0.0200, 0.9486, 0.8493)  6 Ag 2.86-3.09, 2 Au 2.95-3.11
Cd (0.4800, 0.0514, 0.3493)  6 Ag 2.86-3.09, 2 Au 2.95-3.11
Cd (0.5200, 0.9486, 0.6507)  6 Ag 2.86-3.09, 2 Au 2.95-3.11
Cd (0.9800, 0.0514, 0.1507)  6 Ag 2.86-3.09, 2 Au 2.95-3.11
Cd (0.0200, 0.5514, 0.3493)  6 Ag 2.86-3.09, 2 Au 2.95-3.11
Au (0.0000, 0.0000, 0.5000)  6 Ag 2.85-2.95, 4 Cd 2.95-3.11
Au (0.5000, 0.5000, 0.5000)  6 Ag 2.85-2.95, 4 Cd 2.95-3.11
Au (0.0000, 0.5000, 0.0000)  6 Ag 2.85-2.95, 4 Cd 2.95-3.11
Au (0.5000, 0.0000, 0.0000)  6 Ag 2.85-2.95, 4 Cd 2.95-3.11
Ag (0.1331, 0.1733, 0.6876)  6 Ag 2.82-3.06, 1 Au 2.85, 3 Cd 2.86-2.96
Ag (0.6331, 0.1733, 0.8124)  6 Ag 2.82-3.06, 1 Au 2.85, 3 Cd 2.86-2.96
Ag (0.8669, 0.8267, 0.3124)  6 Ag 2.82-3.06, 1 Au 2.85, 3 Cd 2.86-2.96
Ag (0.8669, 0.6733, 0.8124)  6 Ag 2.82-3.06, 1 Au 2.85, 3 Cd 2.86-2.96
Ag (0.8697, 0.7251, 0.5614)  6 Ag 2.85-3.06, 2 Au 2.88-2.95, 3 Cd 2.97-3.09
Ag (0.3669, 0.8267, 0.1876)  6 Ag 2.82-3.06, 1 Au 2.85, 3 Cd 2.86-2.96
Ag (0.3697, 0.7749, 0.4386)  6 Ag 2.85-3.06, 2 Au 2.88-2.95, 3 Cd 2.97-3.09
Ag (0.8697, 0.7749, 0.0614)  6 Ag 2.85-3.06, 2 Au 2.88-2.95, 3 Cd 2.97-3.09
Ag (0.3697, 0.7251, 0.9386)  6 Ag 2.85-3.06, 2 Au 2.88-2.95, 3 Cd 2.97-3.09
Ag (0.1331, 0.3267, 0.1876)  6 Ag 2.82-3.06, 1 Au 2.85, 3 Cd 2.86-2.96
Ag (0.6331, 0.3267, 0.3124)  6 Ag 2.82-3.06, 1 Au 2.85, 3 Cd 2.86-2.96
Ag (0.3669, 0.6733, 0.6876)  6 Ag 2.82-3.06, 1 Au 2.85, 3 Cd 2.86-2.96
Ag (0.1303, 0.2251, 0.9386)  6 Ag 2.85-3.06, 2 Au 2.88-2.95, 3 Cd 2.97-3.09
Ag (0.6303, 0.2749, 0.0614)  6 Ag 2.85-3.06, 2 Au 2.88-2.95, 3 Cd 2.97-3.09
Ag (0.6303, 0.2251, 0.5614)  6 Ag 2.85-3.06, 2 Au 2.88-2.95, 3 Cd 2.97-3.09
Ag (0.1303, 0.2749, 0.4386)  6 Ag 2.85-3.06, 2 Au 2.88-2.95, 3 Cd 2.97-3.09

Output
- relative energy among the computed polymorphs (eV per formula unit) = 0.00
- symmetry = Pbca (61)
- calculated formation energy (eV per atom) = -0.007
- total moment (μB/f.u.) = 0.00


# ThSO

An optimized crystal structure of ThSO (GGA-PBE, Alexandria).

Cell: 4.4029 4.4029 4.4029 Å, 60.00 60.00 60.00°
With the nearest neighbours (Å) after each atom.
Element x y z (fractional)
S (0.0000, 0.0000, 0.0000)  4 Th 2.70
O (0.5000, 0.5000, 0.5000)  4 Th 2.70
Th (0.2500, 0.2500, 0.2500)  4 O 2.70, 4 S 2.70

Output
- raw formation energy (eV/atom) = -2.49
- symmetry = F-43m (216)
- total moment (μB/f.u.) = 0.00


# K2OsRu

An optimized crystal structure of K2OsRu (GGA-PBE, Alexandria).

Cell: 6.3820 6.3820 2.7658 Å, 79.08 79.08 129.21°
With the nearest neighbours (Å) after each atom.
Element x y z (fractional)
Ru (0.0000, 0.5000, 0.5000)  4 Os 2.74-2.91, 2 Ru 2.77
Os (0.5000, 0.0000, 0.5000)  4 Ru 2.74-2.91, 2 Os 2.77
K (0.5000, 0.5000, 0.0000)  6 K 2.74-2.91
K (0.0000, 0.0000, 0.0000)  6 K 2.74-2.91

Output
- relative energy among the computed polymorphs (eV per formula unit) = 2.41
- symmetry = C2/m (12)
- calculated formation energy (eV per atom) = 1.299
- total moment (μB/f.u.) = 0.00


# SrBeIr2

An optimized crystal structure of SrBeIr2 (GGA-PBE, Alexandria).

Cell: 3.7669 2.9125 6.6311 Å, 77.33 90.00 90.00°
With the nearest neighbours (Å) after each atom.
Element x y z (fractional)
Ir (0.0000, 0.5709, 0.5794)  2 Be 2.31
Ir (0.0000, 0.9291, 0.9206)  2 Be 2.31
Sr (0.5000, 0.2500, 0.2500)  2 Sr 2.91, 8 Ir 3.18-3.21
Be (0.5000, 0.7500, 0.7500)  4 Ir 2.31

Output
- symmetry = P2/m (10)
- calculated formation energy (eV per atom) = 0.085
- total moment (μB/f.u.) = 0.00


# LaNdN

An optimized crystal structure of LaNdN (GGA-PBE, Alexandria).

Cell: 4.4615 4.4615 4.4615 Å, 60.00 60.00 60.00°
With the nearest neighbours (Å) after each atom.
Element x y z (fractional)
Nd (0.5000, 0.5000, 0.5000)  4 N 2.73
La (0.0000, 0.0000, 0.0000)  4 N 2.73
N (0.2500, 0.2500, 0.2500)  4 La 2.73, 4 Nd 2.73

Output
- raw formation energy (eV/atom) = -0.37
- relative energy among the computed polymorphs (eV per formula unit) = 1.47
- symmetry = F-43m (216)
- total moment (μB/f.u.) = 0.00


# ScAgTeF2

An optimized crystal structure of ScAgTeF2 (GGA-PBE, Alexandria).

Cell: 4.1036 4.1036 5.9584 Å, 90.00 90.00 90.00°
With the nearest neighbours (Å) after each atom.
Element x y z (fractional)
Ag (0.5000, 0.5000, 0.5000)  4 Te 2.90
F (0.5000, 0.0000, 0.0000)  2 Sc 2.05
F (0.0000, 0.5000, 0.0000)  2 Sc 2.05
Te (0.0000, 0.0000, 0.5000)  4 Ag 2.90, 2 Sc 2.98
Sc (0.0000, 0.0000, 0.0000)  4 F 2.05

Output
- raw formation energy (eV/atom) = -2.23
- symmetry = P4/mmm (123)
- total moment (μB/f.u.) = 0.00


# Dy3ZrBi4

An optimized crystal structure of Dy3ZrBi4 (GGA-PBE, Alexandria).

Cell: 7.6215 7.6441 8.8441 Å, 90.00 90.00 109.54°
With the nearest neighbours (Å) after each atom.
Element x y z (fractional)
Dy (0.7500, 0.0000, 0.3748)  6 Bi 3.12
Dy (0.2500, 0.5000, 0.8752)  6 Bi 3.12-3.17
Dy (0.7500, 0.5000, 0.6249)  6 Bi 3.12-3.18
Dy (0.2500, 0.0000, 0.6252)  6 Bi 3.12
Dy (0.7500, 0.5000, 0.1248)  6 Bi 3.12-3.17
Dy (0.2500, 0.5000, 0.3751)  6 Bi 3.12-3.18
Bi (0.4951, 0.2452, 0.3699)  1 Zr 3.07, 5 Dy 3.12-3.18
Bi (0.4996, 0.7586, 0.1209)  2 Zr 3.06, 4 Dy 3.12-3.17
Bi (0.5004, 0.2414, 0.8791)  2 Zr 3.06, 4 Dy 3.12-3.17
Bi (0.9996, 0.7586, 0.8791)  2 Zr 3.06, 4 Dy 3.12-3.17
Bi (0.0004, 0.2414, 0.1209)  2 Zr 3.06, 4 Dy 3.12-3.17
Bi (0.9951, 0.2452, 0.6301)  1 Zr 3.07, 5 Dy 3.12-3.18
Bi (0.0049, 0.7548, 0.3699)  1 Zr 3.07, 5 Dy 3.12-3.18
Bi (0.5049, 0.7548, 0.6301)  1 Zr 3.07, 5 Dy 3.12-3.18
Zr (0.7500, 0.0000, 0.8766)  6 Bi 3.06-3.07
Zr (0.2500, 0.0000, 0.1234)  6 Bi 3.06-3.07

Output
- symmetry = P2/c (13)
- calculated formation energy (eV per atom) = -0.686
- total moment (μB/f.u.) = 0.00


# SrScCl

An optimized crystal structure of SrScCl (GGA-PBE, Alexandria).

Cell: 5.6857 5.6857 5.6857 Å, 60.00 60.00 60.00°
With the nearest neighbours (Å) after each atom.
Element x y z (fractional)
Cl (0.0000, 0.0000, 0.0000)  4 Sr 3.48
Sc (0.5000, 0.5000, 0.5000)  4 Sr 3.48
Sr (0.7500, 0.7500, 0.7500)  4 Sc 3.48, 4 Cl 3.48

Output
- raw formation energy (eV/atom) = 0.24
- relative energy among the computed polymorphs (eV per formula unit) = 2.98
- symmetry = F-43m (216)
- total moment (μB/f.u.) = 2.01


# Pm6Dy2Er3Sc

An optimized crystal structure of Pm6Dy2Er3Sc (GGA-PBE, Alexandria).

Cell: 6.1927 6.1927 11.7006 Å, 95.05 95.05 119.99°
With the nearest neighbours (Å) after each atom.
Element x y z (fractional)
Er (0.8334, 0.1666, 0.5000)  6 Pm 3.55-3.57, 6 Er 3.57-3.58
Er (0.5000, 0.5000, 0.5000)  6 Pm 3.55-3.56, 6 Er 3.58
Er (0.1666, 0.8334, 0.5000)  6 Pm 3.55-3.57, 6 Er 3.57-3.58
Pm (0.9174, 0.5868, 0.7516)  1 Sc 3.52, 2 Dy 3.53, 6 Pm 3.55-3.59, 3 Er 3.55-3.57
Pm (0.5868, 0.9174, 0.7516)  1 Sc 3.52, 2 Dy 3.53, 6 Pm 3.55-3.59, 3 Er 3.55-3.57
Pm (0.0826, 0.4132, 0.2484)  1 Sc 3.52, 2 Dy 3.53, 6 Pm 3.55-3.59, 3 Er 3.55-3.57
Pm (0.4132, 0.0826, 0.2484)  1 Sc 3.52, 2 Dy 3.53, 6 Pm 3.55-3.59, 3 Er 3.55-3.57
Pm (0.7519, 0.7519, 0.2487)  1 Sc 3.52, 2 Dy 3.54, 6 Pm 3.55-3.59, 3 Er 3.55-3.56
Pm (0.2481, 0.2481, 0.7513)  1 Sc 3.52, 2 Dy 3.54, 6 Pm 3.55-3.59, 3 Er 3.55-3.56
Dy (0.6666, 0.3334, 0.0000)  6 Pm 3.53-3.54, 3 Dy 3.57-3.58, 3 Sc 3.58
Dy (0.3334, 0.6666, 0.0000)  6 Pm 3.53-3.54, 3 Dy 3.57-3.58, 3 Sc 3.58
Sc (0.0000, 0.0000, 0.0000)  6 Pm 3.52, 6 Dy 3.58

Output
- symmetry = C2/m (12)
- calculated formation energy (eV per atom) = 0.024
- total moment (μB/f.u.) = 0.00


# Ca2BeF

An optimized crystal structure of Ca2BeF (GGA-PBE, Alexandria).

Cell: 6.7973 6.7973 6.2284 Å, 56.93 56.93 90.00°
With the nearest neighbours (Å) after each atom.
Element x y z (fractional)
Ca (0.0620, 0.6250, 0.2500)  2 F 2.34
Ca (0.3750, 0.3120, 0.7500)  2 F 2.34
Ca (0.6880, 0.1250, 0.2500)  2 F 2.34
Ca (0.8750, 0.9380, 0.7500)  2 F 2.34
F (0.0000, 0.0000, 0.0000)  4 Ca 2.34
F (0.7500, 0.2500, 0.5000)  4 Ca 2.34
Be (0.5000, 0.5000, 0.0000)  4 Ca 2.90
Be (0.2500, 0.7500, 0.5000)  4 Ca 2.90

Output
- raw formation energy (eV/atom) = -1.03
- relative energy among the computed polymorphs (eV per formula unit) = 0.00
- symmetry = I-42d (122)
- total moment (μB/f.u.) = 0.00


# PmSc2Cu2Ge2

An optimized crystal structure of PmSc2Cu2Ge2 (GGA-PBE, Alexandria).

Cell: 4.3443 4.3443 8.5723 Å, 75.32 75.32 60.00°
With the nearest neighbours (Å) after each atom.
Element x y z (fractional)
Ge (0.7428, 0.7428, 0.7715)  3 Cu 2.60, 3 Sc 2.90
Ge (0.2572, 0.2572, 0.2285)  3 Cu 2.60, 3 Sc 2.90
Cu (0.5625, 0.5625, 0.3125)  3 Ge 2.60, 3 Sc 2.62
Cu (0.4375, 0.4375, 0.6875)  3 Ge 2.60, 3 Sc 2.62
Sc (0.8645, 0.8645, 0.4066)  3 Cu 2.62, 3 Ge 2.90, 3 Sc 2.94
Sc (0.1355, 0.1355, 0.5934)  3 Cu 2.62, 3 Ge 2.90, 3 Sc 2.94
Pm (0.0000, 0.0000, 0.0000)  6 Ge 3.13, 2 Sc 3.33

Output
- symmetry = R-3m (166)
- calculated formation energy (eV per atom) = -0.527
- total moment (μB/f.u.) = 0.00